# Ac2CdAg

An optimized crystal structure of Ac2CdAg (PBE, Alexandria).

a b c (Å): 4.015 4.015 8.068
angles (deg): 90.00 90.00 90.00
Positions (direct):
Ag1 0.500 0.500 0.000
Cd1 0.500 0.500 0.500
Ac1 0.000 0.000 0.758
Ac2 0.000 0.000 0.242

Relative energy among the computed polymorphs, eV/f.u.: 0.00
ΔH_f (0 K), eV/f.u.: -1.121
Space group: P4/mmm
Calculated volume, Å³/atom: 32.5

# Pr2PuBi

An optimized crystal structure of Pr2PuBi (PBE, Alexandria).

a b c (Å): 4.705 5.111 5.111
angles (deg): 90.00 90.00 90.00
Each line ends with the local moment (μB).
Positions (direct):
Bi1 0.500 0.000 0.000  -0.05
Pu1 0.500 0.500 0.500  5.71
Pr1 0.000 0.000 0.500  0.18
Pr2 0.000 0.500 0.000  0.18

Relative energy among the computed polymorphs, eV/f.u.: 0.00
ΔH_f (0 K), eV/f.u.: -1.279
Space group: P4/mmm
Calculated volume, Å³/atom: 30.7

# CaPrSbPd

An optimized crystal structure of CaPrSbPd (PBE, Alexandria).

a b c (Å): 5.293 5.293 5.293
angles (deg): 60.00 60.00 60.00
Positions (direct):
Ca1 0.250 0.250 0.250
Sb1 0.500 0.500 0.500
Pd1 0.000 0.000 0.000
Pr1 0.750 0.750 0.750

Space group: F-43m
Calculated volume, Å³/atom: 26.2
Energy relative to the elements, uncorrected, eV per formula unit: -3.27

# Hf5In4Rh2

An optimized crystal structure of Hf5In4Rh2 (PBE, Alexandria).

a b c (Å): 3.357 7.628 17.499
angles (deg): 90.00 90.00 90.00
Positions (direct):
Hf1 0.000 0.236 0.723
Hf2 0.000 0.357 0.920
Hf3 0.000 0.000 0.000
Hf4 0.000 0.500 0.500
Hf5 0.000 0.643 0.080
Hf6 0.000 0.857 0.580
Hf7 0.000 0.764 0.277
Hf8 0.000 0.736 0.777
Hf9 0.000 0.264 0.223
Hf10 0.000 0.143 0.420
In1 0.500 0.196 0.567
In2 0.500 0.304 0.067
In3 0.500 0.944 0.149
In4 0.500 0.056 0.851
In5 0.500 0.696 0.933
In6 0.500 0.804 0.433
In7 0.500 0.444 0.351
In8 0.500 0.556 0.649
Rh1 0.500 0.054 0.307
Rh2 0.500 0.554 0.193
Rh3 0.500 0.446 0.807
Rh4 0.500 0.946 0.693

ΔH_f (0 K), eV/f.u.: -5.174
Space group: Pbam
Calculated volume, Å³/atom: 20.4

# Pm3Cd3Au2

An optimized crystal structure of Pm3Cd3Au2 (PBE, Alexandria).

a b c (Å): 3.911 7.834 7.834
angles (deg): 120.00 90.00 90.00
Positions (direct):
Au1 0.000 0.333 0.667
Au2 0.000 0.667 0.333
Cd1 0.000 0.775 0.775
Cd2 0.000 0.225 0.000
Cd3 0.000 0.000 0.225
Pm1 0.500 0.415 0.415
Pm2 0.500 0.000 0.585
Pm3 0.500 0.585 0.000

ΔH_f (0 K), eV/f.u.: -4.492
Space group: P-62m
Calculated volume, Å³/atom: 26.0

# Ti4Nb2VMo2

An optimized crystal structure of Ti4Nb2VMo2 (PBE, Alexandria).

a b c (Å): 5.530 6.249 6.114
angles (deg): 129.53 108.37 76.92
Positions (direct):
V1 0.000 0.000 0.000
Ti1 0.384 0.227 0.496
Ti2 0.616 0.773 0.504
Ti3 0.388 0.219 0.000
Ti4 0.612 0.781 0.000
Nb1 0.880 0.253 0.495
Nb2 0.120 0.747 0.505
Mo1 0.793 0.363 0.969
Mo2 0.207 0.637 0.031

ΔH_f (0 K), eV/f.u.: 1.533
Space group: P-1
Calculated volume, Å³/atom: 17.2

# EuInSn

An optimized crystal structure of EuInSn (PBE, Alexandria).

a b c (Å): 3.891 3.891 6.422
angles (deg): 107.63 107.63 90.00
Each line ends with the local moment (μB).
Positions (direct):
Sn1 0.303 0.303 0.606  -0.02
Eu1 0.617 0.617 0.234  6.89
In1 0.930 0.930 0.860  0.00

Relative energy among the computed polymorphs, eV/f.u.: 0.21
ΔH_f (0 K), eV/f.u.: -1.152
Space group: I4mm
Calculated volume, Å³/atom: 29.3

# Mn2SiPt

An optimized crystal structure of Mn2SiPt (PBE, Alexandria).

a b c (Å): 8.411 8.411 8.411
angles (deg): 18.48 18.48 18.48
Each line ends with the local moment (μB).
Positions (direct):
Mn1 0.494 0.494 0.494  2.16
Mn2 0.006 0.006 0.006  2.16
Si1 0.750 0.750 0.750  -0.07
Pt1 0.250 0.250 0.250  0.17

Space group: R-3m
Calculated volume, Å³/atom: 13.0
Energy relative to the elements, uncorrected, eV per formula unit: -0.47

Please write out number 4 again, unchanged.
# Hf5In4Rh2

An optimized crystal structure of Hf5In4Rh2 (PBE, Alexandria).

a b c (Å): 3.357 7.628 17.499
angles (deg): 90.00 90.00 90.00
Positions (direct):
Hf1 0.000 0.236 0.723
Hf2 0.000 0.357 0.920
Hf3 0.000 0.000 0.000
Hf4 0.000 0.500 0.500
Hf5 0.000 0.643 0.080
Hf6 0.000 0.857 0.580
Hf7 0.000 0.764 0.277
Hf8 0.000 0.736 0.777
Hf9 0.000 0.264 0.223
Hf10 0.000 0.143 0.420
In1 0.500 0.196 0.567
In2 0.500 0.304 0.067
In3 0.500 0.944 0.149
In4 0.500 0.056 0.851
In5 0.500 0.696 0.933
In6 0.500 0.804 0.433
In7 0.500 0.444 0.351
In8 0.500 0.556 0.649
Rh1 0.500 0.054 0.307
Rh2 0.500 0.554 0.193
Rh3 0.500 0.446 0.807
Rh4 0.500 0.946 0.693

ΔH_f (0 K), eV/f.u.: -5.174
Space group: Pbam
Calculated volume, Å³/atom: 20.4

Q: calculated volume of number 8 (Mn2SiPt)?
A: 13.0 Å³/atom

Q: Which value of calculated volume does entry 6 give?
A: 17.2 Å³/atom